[1]
Compound: BaMgC2O4
Source: Alexandria
Functional: PBE
Structure: relaxed

Results
calculated density	3637	kg/m3
formation energy from raw total energies	-1583	meV/atom
volume	14.248	Å³/atom

a = 4.462 Å, b = 4.462 Å, c = 6.440 Å
α = 72.94°, β = 72.94°, γ = 72.63°
Element x y z (fractional)
Mg (0.500, 0.500, 0.000)
Ba (0.000, 0.000, 0.500)
C (0.731, 0.731, 0.180)
C (0.269, 0.269, 0.820)
O (0.979, 0.396, 0.780)
O (0.604, 0.021, 0.220)
O (0.021, 0.604, 0.220)
O (0.396, 0.979, 0.780)

[2]
Compound: BaMg6CO8
Source: Alexandria
Functional: PBE
Structure: relaxed

Results
calculated density	3725	kg/m3
formation energy from raw total energies	-1668	meV/atom
volume	11.788	Å³/atom

a = 4.664 Å, b = 4.664 Å, c = 8.670 Å
α = 90.00°, β = 90.00°, γ = 90.00°
Element x y z (fractional)
C (0.000, 0.000, 0.500)
O (0.500, 0.500, 0.254)
Mg (0.500, 0.000, 0.731)
Mg (0.000, 0.500, 0.731)
O (0.000, 0.500, 0.000)
O (0.500, 0.500, 0.746)
O (0.500, 0.000, 0.500)
O (0.000, 0.000, 0.713)
Mg (0.000, 0.500, 0.269)
O (0.000, 0.000, 0.287)
Ba (0.000, 0.000, 0.000)
O (0.000, 0.500, 0.500)
Mg (0.500, 0.000, 0.269)
Mg (0.500, 0.500, 0.000)
Mg (0.500, 0.500, 0.500)
O (0.500, 0.000, 0.000)